{"formula": "BSO2", "functional": "PBE", "state": "relaxed", "cell": [[1.2746, 0.7359, 5.9558], [-1.2746, 0.7359, 5.9558], [0.0000, -1.4717, 5.9558]], "species": ["B", "S", "O", "O"], "frac_coords": [[0.0000, 0.0000, 0.0000], [0.5000, 0.5000, 0.5000], [0.3814, 0.3814, 0.3814], [0.6186, 0.6186, 0.6186]], "de_polymorph_mev_per_atom": 161.1, "space_group": "R-3m", "final_energy_ev_per_atom": -5.67}

=====

{"formula": "BS4O", "functional": "PBE", "state": "relaxed", "cell": [[2.5759, -4.3538, 0.0000], [2.5759, 4.3538, 0.0000], [-2.5666, 0.0000, 4.4210]], "species": ["B", "S", "S", "S", "S", "O"], "frac_coords": [[0.0000, 0.0000, 0.0000], [0.3855, 0.6145, 0.0000], [0.3857, 0.6143, 0.5000], [0.6145, 0.3855, 0.0000], [0.6143, 0.3857, 0.5000], [0.0000, 0.0000, 0.5000]], "space_group": "C2/m", "final_energy_ev_per_atom": -3.36}

=====

{"formula": "BSO2", "functional": "PBE", "state": "relaxed", "cell": [[0.0000, 2.6370, 2.6370], [2.6370, 0.0000, 2.6370], [2.6370, 2.6370, 0.0000]], "species": ["B", "S", "O", "O"], "frac_coords": [[0.0000, 0.0000, 0.0000], [0.5000, 0.5000, 0.5000], [0.2500, 0.2500, 0.2500], [0.7500, 0.7500, 0.7500]], "de_polymorph_mev_per_atom": 2188.0, "space_group": "Fm-3m", "final_energy_ev_per_atom": -3.65}

=====

{"formula": "SiBSO2", "functional": "PBE", "state": "relaxed", "cell": [[3.1759, 0.0000, 0.0000], [0.0000, 3.1759, 0.0000], [0.0000, 0.0000, 6.0529]], "species": ["Si", "B", "S", "O", "O"], "frac_coords": [[0.0000, 0.0000, 0.0000], [0.5000, 0.5000, 0.5000], [0.5000, 0.5000, 0.0000], [0.0000, 0.5000, 0.5000], [0.5000, 0.0000, 0.5000]], "space_group": "P4/mmm", "final_energy_ev_per_atom": -5.42}

=====

{"formula": "Sm3BS3O3", "functional": "PBE", "state": "relaxed", "cell": [[4.0473, 0.0000, 0.0000], [-0.0721, 7.7088, 0.0000], [-0.2495, -0.2558, 11.3116]], "species": ["Sm", "Sm", "Sm", "Sm", "Sm", "Sm", "B", "B", "S", "S", "S", "S", "S", "S", "O", "O", "O", "O", "O", "O"], "frac_coords": [[0.2267, 0.2381, 0.0052], [0.2289, 0.6300, 0.6763], [0.2638, 0.1395, 0.6471], [0.7362, 0.8605, 0.3529], [0.7711, 0.3700, 0.3237], [0.7733, 0.7619, 0.9948], [0.3908, 0.5603, 0.1490], [0.6092, 0.4397, 0.8510], [0.2365, 0.6265, 0.4185], [0.2514, 0.9402, 0.8601], [0.2537, 0.1157, 0.3946], [0.7463, 0.8843, 0.6054], [0.7486, 0.0598, 0.1399], [0.7635, 0.3735, 0.5815], [0.2647, 0.6297, 0.0461], [0.2798, 0.4019, 0.1890], [0.3246, 0.3632, 0.8011], [0.6754, 0.6368, 0.1989], [0.7202, 0.5981, 0.8109], [0.7353, 0.3703, 0.9539]], "space_group": "P-1", "final_energy_ev_per_atom": -7.38}

=====

{"formula": "B2TeSO", "functional": "PBE", "state": "relaxed", "cell": [[4.2056, 0.0000, 0.0000], [0.0000, 4.2056, 0.0000], [0.0000, 0.0000, 4.4320]], "species": ["B", "B", "Te", "S", "O"], "frac_coords": [[0.0000, 0.5000, 0.0000], [0.5000, 0.0000, 0.0000], [0.0000, 0.0000, 0.5000], [0.5000, 0.5000, 0.5000], [0.0000, 0.0000, 0.0000]], "space_group": "P4/mmm", "final_energy_ev_per_atom": -3.49}